(1)
VASP calculation (PBE-GGA) on Ac6Tl2Au after structural relaxation.

Properties
Symmetry: Immm (71)
Offset from the most stable computed form (meV per atom): 25
ΔE_f (meV per atom): -256.5
Total DFT energy (no corrections) (eV/cell): -69.94

Cell: 9.641 9.641 9.641 Å, 72.26 68.59 109.28°
Sites, in units of the cell vectors:
1 Ac 0.081 0.269 0.188
2 Ac 0.832 0.751 0.417
3 Tl 0.868 0.368 0.500
4 Ac 0.168 0.751 0.081
5 Au 0.000 0.000 0.000
6 Ac 0.332 0.050 0.282
7 Ac 0.668 0.385 0.282
8 Tl 0.132 0.632 0.500
9 Ac 0.332 0.615 0.718
10 Ac 0.168 0.249 0.583
11 Tl 0.351 0.000 0.649
12 Au 0.500 0.500 0.000
13 Tl 0.649 0.000 0.351
14 Ac 0.919 0.731 0.812
15 Ac 0.542 0.731 0.188
16 Ac 0.458 0.269 0.812
17 Ac 0.832 0.249 0.919
18 Ac 0.668 0.950 0.718

---

(2)
VASP calculation (PBE-GGA) on Ac7Tl2Au2 after structural relaxation.

Properties
Symmetry: Cmmm (65)
ΔE_f (meV per atom): -264.8
Total DFT energy (no corrections) (eV/cell): -42.96

Cell: 7.603 7.881 7.603 Å, 90.00 108.33 90.00°
Sites, in units of the cell vectors:
1 Ac 0.500 0.752 0.500
2 Au 0.288 0.000 0.712
3 Ac 0.000 0.000 0.000
4 Ac 0.500 0.735 0.000
5 Ac 0.500 0.265 0.000
6 Au 0.712 0.000 0.288
7 Tl 0.169 0.500 0.169
8 Tl 0.831 0.500 0.831
9 Ac 0.000 0.265 0.500
10 Ac 0.000 0.735 0.500
11 Ac 0.500 0.248 0.500

---

(3)
VASP calculation (PBE-GGA) on Ac6Tl6Au after structural relaxation.

Properties
Symmetry: Cmmm (65)
ΔE_f (meV per atom): -249.6
Total DFT energy (no corrections) (eV/cell): -45.37

Cell: 7.320 6.810 11.377 Å, 90.00 90.00 122.51°
Sites, in units of the cell vectors:
1 Tl 0.500 0.500 0.747
2 Ac 0.312 0.625 0.000
3 Tl 0.500 0.500 0.253
4 Ac 0.325 0.650 0.500
5 Tl 0.500 0.000 0.755
6 Ac 0.688 0.375 0.000
7 Ac 0.000 0.000 0.275
8 Tl 0.500 0.000 0.245
9 Ac 0.675 0.350 0.500
10 Au 0.000 0.000 0.000
11 Tl 0.000 0.500 0.253
12 Ac 0.000 0.000 0.725
13 Tl 0.000 0.500 0.747

---

(4)
VASP calculation (PBE-GGA) on Ac2Tl3Au after structural relaxation.

Properties
Symmetry: Fmmm (69)
ΔE_f (meV per atom): -401.1
Total DFT energy (no corrections) (eV/cell): -42.00

Cell: 6.537 6.537 10.309 Å, 113.12 113.12 76.21°
Sites, in units of the cell vectors:
1 Tl 0.341 0.341 0.171
2 Ac 0.743 0.257 0.000
3 Tl 0.170 0.170 0.340
4 Tl 0.830 0.830 0.660
5 Tl 0.830 0.830 0.171
6 Ac 0.257 0.743 0.000
7 Ac 0.250 0.750 0.500
8 Au 0.332 0.332 0.664
9 Ac 0.750 0.250 0.500
10 Tl 0.659 0.659 0.829
11 Au 0.668 0.668 0.336
12 Tl 0.170 0.170 0.829

---

(5)
VASP calculation (PBE-GGA) on Ac8Tl5Au after structural relaxation.

Properties
Symmetry: I-4 (82)
ΔE_f (meV per atom): -323.1
Total DFT energy (no corrections) (eV/cell): -52.50

Cell: 8.781 8.781 8.781 Å, 109.90 108.61 109.90°
Sites, in units of the cell vectors:
1 Ac 0.991 0.118 0.728
2 Tl 0.993 0.366 0.120
3 Ac 0.610 0.882 0.873
4 Au 0.250 0.500 0.750
5 Ac 0.127 0.737 0.009
6 Ac 0.124 0.747 0.521
7 Ac 0.622 0.397 0.876
8 Tl 0.880 0.873 0.246
9 Ac 0.272 0.263 0.390
10 Ac 0.479 0.603 0.226
11 Tl 0.500 0.000 0.500
12 Ac 0.774 0.253 0.378
13 Tl 0.373 0.127 0.007
14 Tl 0.754 0.634 0.627

---

(6)
VASP calculation (PBE-GGA) on Ac5TlAu4 after structural relaxation.

Properties
Symmetry: P4/mmm (123)
ΔE_f (meV per atom): -690.4
Total DFT energy (no corrections) (eV/cell): -42.92

Cell: 3.929 3.929 20.035 Å, 90.00 90.00 90.00°
Sites, in units of the cell vectors:
1 Tl 0.000 0.000 0.000
2 Au 0.000 0.000 0.597
3 Ac 0.500 0.500 0.306
4 Au 0.000 0.000 0.403
5 Ac 0.500 0.500 0.887
6 Ac 0.500 0.500 0.113
7 Au 0.000 0.000 0.793
8 Au 0.000 0.000 0.207
9 Ac 0.500 0.500 0.500
10 Ac 0.500 0.500 0.694

---

(7)
VASP calculation (PBE-GGA) on Ac5Tl2Au after structural relaxation.

Properties
Symmetry: Pbam (55)
ΔE_f (meV per atom): -371.3
Total DFT energy (no corrections) (eV/cell): -63.04

Cell: 5.291 8.126 13.871 Å, 90.00 90.00 90.00°
Sites, in units of the cell vectors:
1 Au 0.000 0.000 0.000
2 Ac 0.500 0.827 0.915
3 Tl 0.500 0.411 0.839
4 Tl 0.500 0.089 0.339
5 Ac 0.000 0.855 0.213
6 Ac 0.000 0.355 0.287
7 Ac 0.500 0.327 0.585
8 Ac 0.000 0.645 0.713
9 Tl 0.500 0.911 0.661
10 Ac 0.500 0.173 0.085
11 Au 0.000 0.500 0.500
12 Ac 0.000 0.145 0.787
13 Ac 0.000 0.000 0.500
14 Ac 0.500 0.673 0.415
15 Ac 0.000 0.500 0.000
16 Tl 0.500 0.589 0.161

---

(8)
VASP calculation (PBE-GGA) on Ac2TlZn3Au4 after structural relaxation.

Properties
Symmetry: P-4m2 (115)
ΔE_f (meV per atom): -516.0
Total DFT energy (no corrections) (eV/cell): -32.67

Cell: 4.444 4.444 11.836 Å, 90.00 90.00 90.00°
Sites, in units of the cell vectors:
1 Zn 0.000 0.500 0.122
2 Zn 0.000 0.000 0.500
3 Tl 0.500 0.500 0.500
4 Au 0.000 0.500 0.341
5 Zn 0.500 0.000 0.878
6 Au 0.500 0.500 0.000
7 Ac 0.000 0.500 0.763
8 Au 0.500 0.000 0.659
9 Au 0.000 0.000 0.000
10 Ac 0.500 0.000 0.237

---

(9)
VASP calculation (PBE-GGA) on Ac2TlZn4Au3 after structural relaxation.

Properties
Symmetry: P-4m2 (115)
ΔE_f (meV per atom): -474.2
Total DFT energy (no corrections) (eV/cell): -30.25

Cell: 4.520 4.520 11.214 Å, 90.00 90.00 90.00°
Sites, in units of the cell vectors:
1 Zn 0.500 0.000 0.640
2 Tl 0.500 0.500 0.500
3 Zn 0.000 0.500 0.360
4 Zn 0.000 0.000 0.000
5 Ac 0.500 0.000 0.242
6 Au 0.500 0.000 0.872
7 Zn 0.500 0.500 0.000
8 Au 0.000 0.500 0.128
9 Ac 0.000 0.500 0.758
10 Au 0.000 0.000 0.500

---

(10)
VASP calculation (PBE-GGA) on Ac2TmAu after structural relaxation.

Properties
Symmetry: R-3m (166)
Offset from the most stable computed form (meV per atom): 493
ΔE_f (meV per atom): 176.0
Total DFT energy (no corrections) (eV/cell): -15.26

Cell: 3.819 3.819 12.135 Å, 80.95 80.95 60.00°
Sites, in units of the cell vectors:
1 Au 0.000 0.000 0.000
2 Tm 0.500 0.500 0.500
3 Ac 0.084 0.084 0.750
4 Ac 0.916 0.916 0.250

---

(11)
VASP calculation (PBE-GGA) on AcTm3Au2 after structural relaxation.

Properties
Symmetry: Pmc2_1 (26)
ΔE_f (meV per atom): -589.7
Total DFT energy (no corrections) (eV/cell): -55.23

Cell: 4.956 7.404 9.040 Å, 90.00 90.00 90.00°
Sites, in units of the cell vectors:
1 Au 0.500 0.760 0.862
2 Au 0.500 0.260 0.138
3 Ac 0.500 0.015 0.423
4 Tm 0.500 0.646 0.163
5 Ac 0.500 0.515 0.577
6 Au 0.000 0.743 0.336
7 Tm 0.500 0.146 0.837
8 Tm 0.000 0.354 0.314
9 Tm 0.000 0.481 0.931
10 Tm 0.000 0.854 0.686
11 Au 0.000 0.243 0.664
12 Tm 0.000 0.981 0.069

---

(12)
VASP calculation (PBE-GGA) on AcTmAu2 after structural relaxation.

Properties
Symmetry: P2_1/m (11)
Offset from the most stable computed form (meV per atom): 0
ΔE_f (meV per atom): -834.0
Total DFT energy (no corrections) (eV/cell): -36.94

Cell: 4.806 5.877 7.905 Å, 105.95 90.00 90.00°
Sites, in units of the cell vectors:
1 Au 0.250 0.811 0.672
2 Au 0.750 0.189 0.328
3 Tm 0.250 0.274 0.561
4 Ac 0.750 0.725 0.930
5 Ac 0.250 0.275 0.070
6 Au 0.250 0.834 0.243
7 Tm 0.750 0.726 0.439
8 Au 0.750 0.166 0.757

---

(13)
VASP calculation (PBE-GGA) on AcTmAu after structural relaxation.

Properties
Symmetry: F-43m (216)
Offset from the most stable computed form (meV per atom): 252
ΔE_f (meV per atom): -356.8
Total DFT energy (no corrections) (eV/cell): -12.93

Cell: 5.205 5.205 5.205 Å, 60.00 60.00 60.00°
Sites, in units of the cell vectors:
1 Au 0.250 0.250 0.250
2 Tm 0.000 0.000 0.000
3 Ac 0.500 0.500 0.500

---

(14)
VASP calculation (PBE-GGA) on AcTmAu2 after structural relaxation.

Properties
Symmetry: Fm-3m (225)
Offset from the most stable computed form (meV per atom): 91
ΔE_f (meV per atom): -743.3
Total DFT energy (no corrections) (eV/cell): -18.11

Cell: 5.314 5.314 5.314 Å, 60.00 60.00 60.00°
Sites, in units of the cell vectors:
1 Au 0.750 0.750 0.750
2 Tm 0.500 0.500 0.500
3 Ac 0.000 0.000 0.000
4 Au 0.250 0.250 0.250

---

(15)
VASP calculation (PBE-GGA) on Ac2TmAu after structural relaxation.

Properties
Symmetry: P4/mmm (123)
Offset from the most stable computed form (meV per atom): 0
ΔE_f (meV per atom): -317.1
Total DFT energy (no corrections) (eV/cell): -17.23

Cell: 3.930 3.930 8.809 Å, 90.00 90.00 90.00°
Sites, in units of the cell vectors:
1 Ac 0.000 0.000 0.217
2 Ac 0.000 0.000 0.783
3 Tm 0.500 0.500 0.500
4 Au 0.500 0.500 0.000

---

(16)
VASP calculation (PBE-GGA) on AcTm2Au after structural relaxation.

Properties
Symmetry: R-3m (166)
Offset from the most stable computed form (meV per atom): 92
ΔE_f (meV per atom): -295.4
Total DFT energy (no corrections) (eV/cell): -17.51

Cell: 3.862 3.862 10.174 Å, 79.06 79.06 60.00°
Sites, in units of the cell vectors:
1 Tm 0.729 0.729 0.813
2 Tm 0.271 0.271 0.187
3 Au 0.000 0.000 0.000
4 Ac 0.500 0.500 0.500

---

(17)
VASP calculation (PBE-GGA) on AcTm2Au after structural relaxation.

Properties
Symmetry: R3m (160)
Offset from the most stable computed form (meV per atom): 97
ΔE_f (meV per atom): -290.2
Total DFT energy (no corrections) (eV/cell): -17.49

Cell: 3.874 3.874 10.143 Å, 78.99 78.99 60.00°
Sites, in units of the cell vectors:
1 Ac 0.502 0.502 0.494
2 Au 0.666 0.666 0.003
3 Tm 0.062 0.062 0.815
4 Tm 0.270 0.270 0.189

---

(18)
VASP calculation (PBE-GGA) on AcTmAu after structural relaxation.

Properties
Symmetry: P4/nmm (129)
Offset from the most stable computed form (meV per atom): 0
ΔE_f (meV per atom): -608.3
Total DFT energy (no corrections) (eV/cell): -27.36

Cell: 4.950 4.951 7.535 Å, 90.00 90.00 90.00°
Sites, in units of the cell vectors:
1 Au 0.480 0.493 0.671
2 Au 0.981 0.993 0.087
3 Ac 0.981 0.993 0.501
4 Tm 0.481 0.993 0.879
5 Ac 0.480 0.493 0.257
6 Tm 0.981 0.493 0.879

---

(19)
VASP calculation (PBE-GGA) on AcTm2Au after structural relaxation.

Properties
Symmetry: P4/mmm (123)
Offset from the most stable computed form (meV per atom): 239
ΔE_f (meV per atom): -148.5
Total DFT energy (no corrections) (eV/cell): -16.92

Cell: 5.092 4.773 4.773 Å, 90.00 90.00 90.00°
Sites, in units of the cell vectors:
1 Tm 0.000 0.500 0.000
2 Tm 0.000 0.000 0.500
3 Au 0.500 0.000 0.000
4 Ac 0.500 0.500 0.500

---

(20)
VASP calculation (PBE-GGA) on AcTmAu3 after structural relaxation.

Properties
Symmetry: Cmcm (63)
ΔE_f (meV per atom): -852.2
Total DFT energy (no corrections) (eV/cell): -45.35

Cell: 3.845 4.657 14.291 Å, 90.00 97.73 90.00°
Sites, in units of the cell vectors:
1 Au 0.527 0.750 0.055
2 Au 0.373 0.250 0.745
3 Tm 0.208 0.750 0.415
4 Ac 0.076 0.250 0.151
5 Ac 0.924 0.750 0.849
6 Au 0.627 0.750 0.255
7 Au 0.473 0.250 0.945
8 Au 0.690 0.250 0.380
9 Tm 0.792 0.250 0.585
10 Au 0.310 0.750 0.620

---

(21)
VASP calculation (PBE-GGA) on AcTmAu2 after structural relaxation.

Properties
Symmetry: P4/mmm (123)
Offset from the most stable computed form (meV per atom): 21
ΔE_f (meV per atom): -813.4
Total DFT energy (no corrections) (eV/cell): -18.39

Cell: 3.678 3.678 7.619 Å, 90.00 90.00 90.00°
Sites, in units of the cell vectors:
1 Tm 0.500 0.500 0.000
2 Au 0.000 0.000 0.209
3 Ac 0.500 0.500 0.500
4 Au 0.000 0.000 0.791

---

(22)
VASP calculation (PBE-GGA) on AcTm2Au after structural relaxation.

Properties
Symmetry: P4/mmm (123)
Offset from the most stable computed form (meV per atom): 0
ΔE_f (meV per atom): -387.2
Total DFT energy (no corrections) (eV/cell): -17.88

Cell: 3.655 3.655 8.811 Å, 90.00 90.00 90.00°
Sites, in units of the cell vectors:
1 Au 0.500 0.500 0.000
2 Tm 0.000 0.000 0.810
3 Tm 0.000 0.000 0.190
4 Ac 0.500 0.500 0.500

---

(23)
VASP calculation (PBE-GGA) on AcTmAu after structural relaxation.

Properties
Symmetry: I4mm (107)
Offset from the most stable computed form (meV per atom): 96
ΔE_f (meV per atom): -512.8
Total DFT energy (no corrections) (eV/cell): -13.40

Cell: 3.731 3.731 7.048 Å, 105.35 105.35 90.00°
Sites, in units of the cell vectors:
1 Tm 0.294 0.294 0.588
2 Ac 0.014 0.014 0.027
3 Au 0.692 0.692 0.385

---

(24)
VASP calculation (PBE-GGA) on AcTmAu after structural relaxation.

Properties
Symmetry: P-62m (189)
Offset from the most stable computed form (meV per atom): 60
ΔE_f (meV per atom): -548.6
Total DFT energy (no corrections) (eV/cell): -40.51

Cell: 5.130 7.821 7.821 Å, 120.00 90.00 90.00°
Sites, in units of the cell vectors:
1 Ac 0.500 0.597 0.597
2 Tm 0.000 0.257 0.257
3 Au 0.000 0.667 0.333
4 Tm 0.000 0.000 0.743
5 Au 0.000 0.333 0.667
6 Ac 0.500 0.000 0.403
7 Ac 0.500 0.403 0.000
8 Au 0.500 0.000 0.000
9 Tm 0.000 0.743 0.000